(w)
Material: Ga3NO3
Method: DFT, GGA-PBEsol
State: relaxed

Lattice parameters (Å, degrees): 8.1524 8.1524 6.2983 90.00 90.00 120.00
Space group P-6 (No. 174)
Unique sites:
Ga 0.0712 0.5741 0.2434 (multiplicity 6)
Ga 0.2548 0.0950 0.5000 (multiplicity 3)
Ga 0.2623 0.0989 0.0000 (multiplicity 3)
N 0.0000 0.0000 0.5000 (multiplicity 1)
N 0.0050 0.6483 0.0000 (multiplicity 3)
O 0.0000 0.0000 0.0000 (multiplicity 1)
O 0.3333 0.6667 0.2703 (multiplicity 2)
O 0.3358 0.0266 0.2530 (multiplicity 6)
O 0.3774 0.3640 0.5000 (multiplicity 3)

Computed properties:
V in Å³/f.u.: 91

***

(x)
Material: Ga3NO3
Method: DFT, GGA-PBEsol
State: relaxed

Lattice parameters (Å, degrees): 5.8525 5.8525 14.5915 90.00 90.00 120.00
Space group R-3m (No. 166, hexagonal axes)
Unique sites:
Ga 0.0000 0.0000 0.0000 (multiplicity 3)
Ga 0.0000 0.0000 0.3623 (multiplicity 6)
Ga 0.0000 0.5000 0.5000 (multiplicity 9)
N 0.0000 0.0000 0.2324 (multiplicity 6)
O 0.0134 0.5067 0.7470 (multiplicity 18)

Computed properties:
V in Å³/f.u.: 72

***

How far above the most stable structure does each one sit? In eV/atom: (w) 0.038; (x) 0.000.

***

(w)
Material: Ga3NO3
Method: DFT, GGA-PBEsol
State: relaxed

Lattice parameters (Å, degrees): 6.1188 8.2877 8.3084 60.20 89.56 89.52
Space group P1 (No. 1)
Unique sites:
Ga 0.0000 0.0000 0.0000 (multiplicity 1)
Ga 0.0006 0.5687 0.0867 (multiplicity 1)
Ga 0.0088 0.6639 0.4242 (multiplicity 1)
Ga 0.2139 0.1774 0.2562 (multiplicity 1)
Ga 0.2247 0.2506 0.5972 (multiplicity 1)
Ga 0.2263 0.8401 0.6654 (multiplicity 1)
Ga 0.5073 0.8261 0.3418 (multiplicity 1)
Ga 0.5159 0.9260 0.9146 (multiplicity 1)
Ga 0.5238 0.4854 0.2556 (multiplicity 1)
Ga 0.7013 0.3198 0.6754 (multiplicity 1)
Ga 0.7122 0.6804 0.7479 (multiplicity 1)
Ga 0.7166 0.2510 0.0725 (multiplicity 1)
N 0.4760 0.3858 0.5082 (multiplicity 1)
N 0.4928 0.8158 0.7708 (multiplicity 1)
N 0.7307 0.0902 0.8968 (multiplicity 1)
N 0.7558 0.4252 0.1541 (multiplicity 1)
O 0.0168 0.7430 0.1720 (multiplicity 1)
O 0.1463 0.0908 0.5045 (multiplicity 1)
O 0.2434 0.0660 0.8504 (multiplicity 1)
O 0.2451 0.7659 0.4804 (multiplicity 1)
O 0.2588 0.4301 0.1642 (multiplicity 1)
O 0.4824 0.0870 0.2209 (multiplicity 1)
O 0.5003 0.7478 0.1711 (multiplicity 1)
O 0.6757 0.4345 0.8212 (multiplicity 1)
O 0.7588 0.7534 0.4856 (multiplicity 1)
O 0.9824 0.4080 0.5579 (multiplicity 1)
O 0.9922 0.7172 0.8220 (multiplicity 1)
O 0.9973 0.1214 0.1412 (multiplicity 1)

Computed properties:
V in Å³/f.u.: 91

***

(x)
Material: Ga3NO3
Method: DFT, GGA-PBEsol
State: relaxed

Lattice parameters (Å, degrees): 8.0030 6.3469 8.1329 90.00 119.29 90.00
Space group Pm (No. 6)
Unique sites:
Ga 0.0000 0.0000 0.0000 (multiplicity 1)
Ga 0.0010 0.5000 0.0005 (multiplicity 1)
Ga 0.3289 0.2570 0.5348 (multiplicity 2)
Ga 0.4118 0.2568 0.1854 (multiplicity 2)
Ga 0.5673 0.5000 0.9419 (multiplicity 1)
Ga 0.5760 0.0000 0.9418 (multiplicity 1)
Ga 0.7691 0.2495 0.6171 (multiplicity 2)
Ga 0.9246 0.0000 0.3680 (multiplicity 1)
Ga 0.9271 0.5000 0.3632 (multiplicity 1)
N 0.1905 0.5000 0.4841 (multiplicity 1)
N 0.4635 0.5000 0.0990 (multiplicity 1)
N 0.8451 0.5000 0.7439 (multiplicity 1)
N 0.8510 0.0000 0.7450 (multiplicity 1)
O 0.1441 0.2469 0.1014 (multiplicity 2)
O 0.1931 0.0000 0.4855 (multiplicity 1)
O 0.4638 0.0000 0.0994 (multiplicity 1)
O 0.5001 0.2357 0.4431 (multiplicity 2)
O 0.5032 0.2453 0.8010 (multiplicity 2)
O 0.8330 0.5000 0.1016 (multiplicity 1)
O 0.8366 0.0000 0.1098 (multiplicity 1)
O 0.8375 0.2482 0.4169 (multiplicity 2)

Computed properties:
V in Å³/f.u.: 90

***

(y)
Material: Ga3NO3
Method: DFT, GGA-PBEsol
State: relaxed

Lattice parameters (Å, degrees): 10.2250 5.8546 10.2331 90.00 109.61 90.00
Space group C2/m (No. 12)
Unique sites:
Ga 0.0000 0.0000 0.0000 (multiplicity 2)
Ga 0.0000 0.5000 0.5000 (multiplicity 2)
Ga 0.0521 0.0000 0.6964 (multiplicity 4)
Ga 0.0610 0.5000 0.1912 (multiplicity 4)
Ga 0.2485 0.0000 0.2558 (multiplicity 4)
Ga 0.2500 0.2500 0.0000 (multiplicity 4)
Ga 0.2500 0.2500 0.5000 (multiplicity 4)
N 0.1308 0.0000 0.8970 (multiplicity 4)
N 0.1462 0.0000 0.3847 (multiplicity 4)
O 0.1223 0.2638 0.6232 (multiplicity 8)
O 0.1230 0.5000 0.3847 (multiplicity 4)
O 0.1296 0.2425 0.1268 (multiplicity 8)
O 0.1344 0.5000 0.8706 (multiplicity 4)

Computed properties:
V in Å³/f.u.: 72

***

How far above the most stable structure does each one sit? In eV/atom: (w) 0.043; (x) 0.026; (y) 0.000.

***

(w)
Material: Na2GaPb2
Method: DFT, GGA-PBEsol
State: relaxed

Lattice parameters (Å, degrees): 7.4636 7.4636 5.0808 90.00 90.00 90.00
Space group P4/mbm (No. 127)
Unique sites:
Na 0.1638 0.3362 0.0000 (multiplicity 4)
Ga 0.0000 0.0000 0.5000 (multiplicity 2)
Pb 0.1478 0.6478 0.5000 (multiplicity 4)

Computed properties:
V in Å³/f.u.: 142

***

(x)
Material: Na2GaPb2
Method: DFT, GGA-PBEsol
State: relaxed

Lattice parameters (Å, degrees): 4.1104 4.1104 16.2177 90.00 90.00 90.00
Space group I4/mmm (No. 139)
Unique sites:
Na 0.0000 0.5000 0.2500 (multiplicity 4)
Ga 0.0000 0.0000 0.0000 (multiplicity 2)
Pb 0.0000 0.0000 0.4074 (multiplicity 4)

Computed properties:
V in Å³/f.u.: 137

***

How far above the most stable structure does each one sit? In eV/atom: (w) 0.000; (x) 0.213.

***

(w)
Material: NaZn2Ga2
Method: DFT, GGA-PBEsol
State: relaxed

Lattice parameters (Å, degrees): 4.0361 4.0361 11.2618 90.00 90.00 90.00
Space group I4/mmm (No. 139)
Unique sites:
Na 0.0000 0.0000 0.0000 (multiplicity 2)
Zn 0.0000 0.5000 0.2500 (multiplicity 4)
Ga 0.0000 0.0000 0.3900 (multiplicity 4)

Computed properties:
V in Å³/f.u.: 92

***

(x)
Material: NaZn2Ga2
Method: DFT, GGA-PBEsol
State: relaxed

Lattice parameters (Å, degrees): 7.9325 7.9325 2.7958 90.00 90.00 90.00
Space group P4/mbm (No. 127)
Unique sites:
Na 0.0000 0.0000 0.0000 (multiplicity 2)
Zn 0.1531 0.3469 0.5000 (multiplicity 4)
Ga 0.1413 0.6413 0.0000 (multiplicity 4)

Computed properties:
V in Å³/f.u.: 88

***

How far above the most stable structure does each one sit? In eV/atom: (w) 0.000; (x) 0.045.

***

(w)
Material: Nb5Ga3
Method: DFT, GGA-PBEsol
State: relaxed

Lattice parameters (Å, degrees): 7.7044 7.7044 5.2344 90.00 90.00 120.00
Space group P6_3/mcm (No. 193)
Unique sites:
Nb 0.0000 0.2482 0.2500 (multiplicity 6)
Nb 0.3333 0.6667 0.0000 (multiplicity 4)
Ga 0.0000 0.3928 0.7500 (multiplicity 6)

Computed properties:
V in Å³/f.u.: 135

***

(x)
Material: Nb5Ga3
Method: DFT, GGA-PBEsol
State: relaxed

Lattice parameters (Å, degrees): 10.2505 10.2505 5.0418 90.00 90.00 90.00
Space group I4/mcm (No. 140)
Unique sites:
Nb 0.0000 0.5000 0.2500 (multiplicity 4)
Nb 0.0762 0.2212 0.0000 (multiplicity 16)
Ga 0.0000 0.0000 0.2500 (multiplicity 4)
Ga 0.1653 0.3347 0.5000 (multiplicity 8)

Computed properties:
V in Å³/f.u.: 132

***

How far above the most stable structure does each one sit? In eV/atom: (w) 0.093; (x) 0.000.

***

(w)
Material: TiNb2Ga2
Method: DFT, GGA-PBEsol
State: relaxed

Lattice parameters (Å, degrees): 3.4898 3.4898 14.4159 90.00 90.00 90.00
Space group I4/mmm (No. 139)
Unique sites:
Ti 0.0000 0.0000 0.0000 (multiplicity 2)
Nb 0.0000 0.0000 0.4035 (multiplicity 4)
Ga 0.0000 0.5000 0.2500 (multiplicity 4)

Computed properties:
V in Å³/f.u.: 88

***

(x)
Material: TiNb2Ga2
Method: DFT, GGA-PBEsol
State: relaxed

Lattice parameters (Å, degrees): 6.8279 6.8279 3.4956 90.00 90.00 90.00
Space group P4/mbm (No. 127)
Unique sites:
Ti 0.0000 0.0000 0.0000 (multiplicity 2)
Nb 0.1738 0.3262 0.5000 (multiplicity 4)
Ga 0.1275 0.6275 0.0000 (multiplicity 4)

Computed properties:
V in Å³/f.u.: 81

***

How far above the most stable structure does each one sit? In eV/atom: (w) 0.649; (x) 0.000.

***

(w)
Material: NdGa3
Method: DFT, GGA-PBEsol
State: relaxed

Lattice parameters (Å, degrees): 6.3654 6.3654 4.5046 90.00 90.00 120.00
Space group P6_3/mmc (No. 194)
Unique sites:
Nd 0.3333 0.6667 0.2500 (multiplicity 2)
Ga 0.1429 0.2858 0.7500 (multiplicity 6)

Computed properties:
V in Å³/f.u.: 79

***

(x)
Material: NdGa3
Method: DFT, GGA-PBEsol
State: relaxed

Lattice parameters (Å, degrees): 4.3040 4.3040 4.3040 90.00 90.00 90.00
Space group Pm-3m (No. 221)
Unique sites:
Nd 0.0000 0.0000 0.0000 (multiplicity 1)
Ga 0.0000 0.5000 0.5000 (multiplicity 3)

Computed properties:
V in Å³/f.u.: 80

***

How far above the most stable structure does each one sit? In eV/atom: (w) 0.000; (x) 0.078.